i | Compound: La2As2Cl
Source: Alexandria via LeMat-Bulk
Functional: PBE
Structure: relaxed

abc: 6.1546 6.1546 6.1546
angles: 125.63 125.63 80.50
Element x y z (fractional)
La1 0.2500 0.7500 0.5000
La2 0.7500 0.2500 0.5000
As1 0.1310 0.1310 0.0000
As2 0.8690 0.8690 0.0000
Cl1 0.5000 0.5000 0.0000

Computed properties:
DOS at the Fermi energy, states/eV/atom: 0.697
Total magnetization, μB per formula unit: 0.01

---

ii | Compound: La2As2Cl
Source: Alexandria via LeMat-Bulk
Functional: PBE
Structure: relaxed

abc: 8.0171 8.0171 4.1515
angles: 90.00 90.00 90.00
Element x y z (fractional)
La1 0.1810 0.3190 0.0000
La2 0.3190 0.8190 0.0000
La3 0.6810 0.1810 0.0000
La4 0.8190 0.6810 0.0000
As1 0.1135 0.6135 0.5000
As2 0.3865 0.1135 0.5000
As3 0.6135 0.8865 0.5000
As4 0.8865 0.3865 0.5000
Cl1 0.0000 0.0000 0.0000
Cl2 0.5000 0.5000 0.0000

Computed properties:
DOS at the Fermi energy, states/eV/atom: 0.419
Total magnetization, μB per formula unit: 0.00

---

Most stable = ii